VASP calculation (PBE) on a relaxed Sm2Er2In5 crystal.

abc: 16.172 6.571 10.239
angles: 90.00 115.13 90.00
Space group Cc (No. 9)
Inequivalent atoms, fractional coordinates:
1 Sm 0.000 0.249 0.000 (multiplicity 4)
2 Sm 0.244 0.250 0.134 (multiplicity 4)
3 Er 0.162 0.250 0.630 (multiplicity 4)
4 Er 0.405 0.251 0.767 (multiplicity 4)
5 In 0.102 0.018 0.335 (multiplicity 4)
6 In 0.102 0.483 0.335 (multiplicity 4)
7 In 0.305 0.015 0.428 (multiplicity 4)
8 In 0.305 0.486 0.428 (multiplicity 4)
9 In 0.456 0.250 0.128 (multiplicity 4)

## Properties
Size of the total moment = 0.00 μB/f.u.
V = 27.361 A^3/atom
Energy of formation = -3.446 eV/f.u.